# 1
5
Lattice="4.5798 0.0000 0.0000 0.0000 4.5798 0.0000 0.0000 0.0000 4.5798" Properties=species:S:1:pos:R:3 comment="YSiP3 | Alexandria via LeMat-Bulk | PBE | relaxed" de_polymorph_mev_per_atom=0 raw_formation_energy_ev_per_atom=-0.04 pbc="T T T"
Y 0.0000 0.0000 0.0000
Si 2.2899 2.2899 2.2899
P 0.0000 2.2899 2.2899
P 2.2899 0.0000 2.2899
P 2.2899 2.2899 0.0000

=====

# 2
3
Lattice="0.0000 3.2239 3.2239 3.2239 0.0000 3.2239 3.2239 3.2239 0.0000" Properties=species:S:1:pos:R:3 comment="YSiP | Alexandria via LeMat-Bulk | PBE | relaxed" de_polymorph_mev_per_atom=463 raw_formation_energy_ev_per_atom=-0.25 pbc="T T T"
Y 0.0000 0.0000 0.0000
Si 3.2239 3.2239 3.2239
P 4.8359 4.8359 4.8359

=====

# 3
5
Lattice="4.5034 0.0000 0.0000 0.0000 4.5034 0.0000 0.0000 0.0000 5.4383" Properties=species:S:1:pos:R:3 comment="YZnSiP2 | Alexandria via LeMat-Bulk | PBE | relaxed" raw_formation_energy_ev_per_atom=0.52 pbc="T T T"
Y 0.0000 0.0000 0.0000
Zn 0.0000 0.0000 2.7191
Si 2.2517 2.2517 0.0000
P 0.0000 2.2517 2.7191
P 2.2517 0.0000 2.7191

=====

# 4
4
Lattice="1.3319 0.7690 10.2311 -1.3319 0.7690 10.2311 0.0000 -1.5380 10.2311" Properties=species:S:1:pos:R:3 comment="Zn2SiP | Alexandria via LeMat-Bulk | PBE | relaxed" raw_formation_energy_ev_per_atom=0.32 pbc="T T T"
Zn 0.0000 0.0000 0.0000
Zn 0.0000 0.0000 7.5486
Si 0.0000 0.0000 15.0853
P 0.0000 0.0000 23.1903